Ge3Bi2Pt2: relaxed, GGA-PBE.

final energy: -4.913 eV/atom
symmetry: R3m (160)
M_tot: 0.02 μB/f.u.

a = 8.9512 Å, b = 8.9512 Å, c = 8.9512 Å
α = 29.71°, β = 29.71°, γ = 29.71°
Atoms (fractional coordinates):
Ge (0.0000, 0.0000, 0.0000)
Ge (0.2638, 0.2638, 0.2638)
Ge (0.5434, 0.5434, 0.5434)
Bi (0.1425, 0.1425, 0.1425)
Bi (0.7197, 0.7197, 0.7197)
Pt (0.4379, 0.4379, 0.4379)
Pt (0.9055, 0.9055, 0.9055)



LiCuTe3Os: relaxed, GGA-PBE.

final energy: -4.428 eV/atom
symmetry: Cmcm (63)
M_tot: 0.02 μB/f.u.

a = 6.8572 Å, b = 6.8572 Å, c = 10.1359 Å
α = 90.00°, β = 90.00°, γ = 146.85°
Atoms (fractional coordinates):
Li (0.2186, 0.7814, 0.7500)
Li (0.7814, 0.2186, 0.2500)
Cu (0.4590, 0.5410, 0.2500)
Cu (0.5410, 0.4590, 0.7500)
Te (0.0901, 0.9099, 0.2500)
Te (0.3611, 0.6389, 0.0361)
Te (0.3611, 0.6389, 0.4639)
Te (0.6389, 0.3611, 0.5361)
Te (0.6389, 0.3611, 0.9639)
Te (0.9099, 0.0901, 0.7500)
Os (0.0000, 0.0000, 0.0000)
Os (0.0000, 0.0000, 0.5000)



TmTlNO: relaxed, GGA-PBE.

final energy: -6.140 eV/atom
symmetry: Pca2_1 (29)
M_tot: 0.00 μB/f.u.

a = 6.6456 Å, b = 7.5416 Å, c = 5.8522 Å
α = 90.00°, β = 90.00°, γ = 90.00°
Atoms (fractional coordinates):
Tm (0.0862, 0.1217, 0.0000)
Tm (0.4138, 0.1217, 0.5000)
Tm (0.5862, 0.8783, 0.0000)
Tm (0.9138, 0.8783, 0.5000)
Tl (0.0849, 0.6429, 0.0042)
Tl (0.4151, 0.6429, 0.5042)
Tl (0.5849, 0.3571, 0.0042)
Tl (0.9151, 0.3571, 0.5042)
N (0.0996, 0.1029, 0.6230)
N (0.4004, 0.1029, 0.1230)
N (0.5996, 0.8971, 0.6230)
N (0.9004, 0.8971, 0.1230)
O (0.0552, 0.6314, 0.5878)
O (0.4448, 0.6314, 0.0878)
O (0.5552, 0.3686, 0.5878)
O (0.9448, 0.3686, 0.0878)



Sm2SnH2: relaxed, GGA-PBE.

final energy: -4.750 eV/atom
symmetry: I4/mmm (139)
M_tot: 0.01 μB/f.u.

a = 4.0761 Å, b = 4.0761 Å, c = 10.9778 Å
α = 90.00°, β = 90.00°, γ = 90.00°
Atoms (fractional coordinates):
Sm (0.0000, 0.0000, 0.1527)
Sm (0.0000, 0.0000, 0.8473)
Sm (0.5000, 0.5000, 0.3473)
Sm (0.5000, 0.5000, 0.6527)
Sn (0.0000, 0.0000, 0.5000)
Sn (0.5000, 0.5000, 0.0000)
H (0.0000, 0.5000, 0.2500)
H (0.0000, 0.5000, 0.7500)
H (0.5000, 0.0000, 0.2500)
H (0.5000, 0.0000, 0.7500)



DyCdPbSe3: relaxed, GGA-PBE.

final energy: -4.171 eV/atom
symmetry: Cmcm (63)
M_tot: 0.01 μB/f.u.

a = 7.2762 Å, b = 7.2762 Å, c = 10.7838 Å
α = 90.00°, β = 90.00°, γ = 146.30°
Atoms (fractional coordinates):
Dy (0.0000, 0.0000, 0.0000)
Dy (0.0000, 0.0000, 0.5000)
Cd (0.4654, 0.5346, 0.7500)
Cd (0.5346, 0.4654, 0.2500)
Pb (0.2282, 0.7718, 0.2500)
Pb (0.7718, 0.2282, 0.7500)
Se (0.0910, 0.9090, 0.7500)
Se (0.3591, 0.6409, 0.5405)
Se (0.3591, 0.6409, 0.9595)
Se (0.6409, 0.3591, 0.0405)
Se (0.6409, 0.3591, 0.4595)
Se (0.9090, 0.0910, 0.2500)



Ho4SnC2S: relaxed, GGA-PBE.

final energy: -6.525 eV/atom
symmetry: P-6m2 (187)
M_tot: 0.00 μB/f.u.

a = 3.6447 Å, b = 3.6447 Å, c = 14.2920 Å
α = 90.00°, β = 90.00°, γ = 120.00°
Atoms (fractional coordinates):
Ho (0.0000, 0.0000, 0.1314)
Ho (0.0000, 0.0000, 0.8686)
Ho (0.6667, 0.3333, 0.3176)
Ho (0.6667, 0.3333, 0.6824)
Sn (0.0000, 0.0000, 0.5000)
C (0.3333, 0.6667, 0.2264)
C (0.3333, 0.6667, 0.7736)
S (0.6667, 0.3333, 0.0000)